BeMoF3 after structural relaxation. Source: Alexandria via LeMat-Bulk, functional PBE with a Hubbard U.

- ρ: 4.9 Mg/m³
- Energy relative to the lowest polymorph listed for this composition: 0.0 meV/atom

Unit cell a=3.7947 b=3.7947 c=3.7947 alpha=90.00 beta=90.00 gamma=90.00
Last column: nearest neighbours and their distance in Å.
Fractional coordinates of all 5 atoms:
F 0.0000 0.5000 0.0000  2 Be 1.90
Be 0.0000 0.0000 0.0000  6 F 1.90
F 0.5000 0.0000 0.0000  2 Be 1.90
F 0.0000 0.0000 0.5000  2 Be 1.90
Mo 0.5000 0.5000 0.5000  12 F 2.68